Below is a relaxed structure of AlGaPb2S5, with properties calculated at the PBE level.

a = 3.740 Å, b = 8.889 Å, c = 12.671 Å
α = 90.00°, β = 90.00°, γ = 102.14°
Fractional coordinates of all 18 atoms:
1 Pb 0.128 0.256 0.318
2 Pb 0.866 0.733 0.170
3 S 0.341 0.683 0.010
4 S 0.294 0.588 0.655
5 S 0.057 0.114 0.040
6 Pb 0.872 0.744 0.818
7 Ga 0.561 0.121 0.931
8 S 0.706 0.412 0.155
9 S 0.309 0.617 0.394
10 Ga 0.439 0.879 0.431
11 Al 0.796 0.593 0.525
12 S 0.691 0.383 0.894
13 S 0.659 0.317 0.510
14 S 0.507 0.014 0.282
15 Al 0.204 0.407 0.025
16 Pb 0.134 0.267 0.670
17 S 0.943 0.886 0.540
18 S 0.493 0.986 0.782

Summary:
* M_tot: 0.0 Bohr magnetons per cell
* symmetry: Cmc2_1
* formation energy without anion corrections: -0.701 eV/atom
* raw total energy: -82.3 eV/cell
* ρ: 5.4 g/cm3

Below is a relaxed structure of AlGaSnPb, with properties calculated at the PBE level.

a = 5.158 Å, b = 5.158 Å, c = 5.158 Å
α = 60.00°, β = 60.00°, γ = 60.00°
Fractional coordinates of all 4 atoms:
1 Ga 0.500 0.500 0.500
2 Pb 0.750 0.750 0.750
3 Al 0.000 0.000 0.000
4 Sn 0.250 0.250 0.250

Summary:
* formation energy: 197 meV per atom
* M_tot: 0.0 Bohr magnetons per cell
* symmetry: F-43m
* raw total energy: -13.7 eV/cell
* DOS(E_F): 3.24 states/eV/f.u.
* ρ: 7.2 g/cm3

Below is a relaxed structure of AlGa3Pd, with properties calculated at the PBE level.

a = 5.872 Å, b = 5.872 Å, c = 6.746 Å
α = 105.80°, β = 122.41°, γ = 94.09°
Fractional coordinates of all 10 atoms:
1 Ga 0.736 0.593 0.813
2 Al 0.315 0.910 0.225
3 Ga 0.220 0.076 0.813
4 Ga 0.822 0.407 0.229
5 Pd 0.728 0.753 0.481
6 Ga 0.178 0.593 0.771
7 Pd 0.272 0.247 0.519
8 Ga 0.780 0.924 0.187
9 Ga 0.264 0.407 0.187
10 Al 0.685 0.090 0.775

Summary:
* formation energy: -235 meV per atom
* M_tot: 0.0 Bohr magnetons per cell
* symmetry: C2/m
* E above lowest polymorph: 0 meV/atom
* raw total energy: -38.4 eV/cell
* DOS(E_F): 2.27 states/eV/f.u.
* ρ: 6.2 g/cm3

Below is a relaxed structure of AlGaPd3, with properties calculated at the PBE level.

a = 4.556 Å, b = 4.556 Å, c = 4.556 Å
α = 90.00°, β = 90.00°, γ = 90.00°
Fractional coordinates of all 5 atoms:
1 Al 0.000 0.000 0.000
2 Pd 0.500 0.000 0.000
3 Pd 0.000 0.000 0.500
4 Ga 0.500 0.500 0.500
5 Pd 0.000 0.500 0.000

Summary:
* formation energy: 91 meV per atom
* M_tot: 0.0 Bohr magnetons per cell
* symmetry: Pm-3m
* E above lowest polymorph: 714 meV/atom
* raw total energy: -21.9 eV/cell
* DOS(E_F): 2.92 states/eV/f.u.
* ρ: 7.3 g/cm3

Below is a relaxed structure of Al4Ga2Pd, with properties calculated at the PBE level.

a = 6.503 Å, b = 7.279 Å, c = 6.495 Å
α = 106.07°, β = 112.49°, γ = 105.93°
Fractional coordinates of all 14 atoms:
1 Al 0.231 0.986 0.630
2 Al 0.511 0.755 0.841
3 Ga 0.689 0.877 0.313
4 Al 0.913 0.666 0.140
5 Al 0.333 0.992 0.253
6 Ga 0.095 0.467 0.851
7 Al 0.724 0.083 0.750
8 Ga 0.634 0.282 0.130
9 Ga 0.559 0.374 0.681
10 Al 0.892 0.764 0.743
11 Al 0.384 0.558 0.343
12 Pd 0.179 0.176 0.993
13 Al 0.040 0.195 0.329
14 Pd 0.067 0.574 0.503

Summary:
* formation energy: -179 meV per atom
* M_tot: 0.0 Bohr magnetons per cell
* symmetry: P1
* raw total energy: -54.9 eV/cell
* DOS(E_F): 2.33 states/eV/f.u.
* ρ: 4.8 g/cm3

Below is a relaxed structure of AlGaPd2, with properties calculated at the PBE level.

a = 5.709 Å, b = 5.709 Å, c = 5.709 Å
α = 58.86°, β = 151.60°, γ = 129.61°
Fractional coordinates of all 4 atoms:
1 Ga 0.000 0.500 0.500
2 Pd 0.000 0.245 0.245
3 Pd 0.000 0.755 0.755
4 Al 0.000 0.000 0.000

Summary:
* formation energy: -115 meV per atom
* M_tot: 0.0 Bohr magnetons per cell
* symmetry: Immm
* raw total energy: -17.6 eV/cell
* DOS(E_F): 2.30 states/eV/f.u.
* ρ: 7.6 g/cm3

Below is a relaxed structure of AlGa3Pd, with properties calculated at the PBE level.

a = 4.837 Å, b = 4.837 Å, c = 4.837 Å
α = 90.00°, β = 90.00°, γ = 90.00°
Fractional coordinates of all 5 atoms:
1 Pd 0.500 0.500 0.500
2 Ga 0.000 0.000 0.500
3 Ga 0.000 0.500 0.000
4 Ga 0.500 0.000 0.000
5 Al 0.000 0.000 0.000

Summary:
* formation energy: 502 meV per atom
* M_tot: 0.0 Bohr magnetons per cell
* symmetry: Pm-3m
* E above lowest polymorph: 737 meV/atom
* raw total energy: -15.5 eV/cell
* DOS(E_F): 2.46 states/eV/f.u.
* ρ: 5.0 g/cm3

Below is a relaxed structure of AlGa2Pd8, with properties calculated at the PBE level.

a = 4.137 Å, b = 6.133 Å, c = 7.227 Å
α = 107.63°, β = 106.63°, γ = 90.00°
Fractional coordinates of all 11 atoms:
1 Pd 0.599 0.462 0.198
2 Pd 0.967 0.245 0.934
3 Pd 0.329 0.063 0.657
4 Pd 0.834 0.762 0.667
5 Pd 0.033 0.755 0.066
6 Pd 0.166 0.238 0.333
7 Pd 0.671 0.937 0.343
8 Al 0.500 0.000 0.000
9 Pd 0.401 0.538 0.802
10 Ga 0.204 0.669 0.409
11 Ga 0.796 0.331 0.591

Summary:
* formation energy: -547 meV per atom
* M_tot: 0.0 Bohr magnetons per cell
* symmetry: C2/m
* E above lowest polymorph: 6 meV/atom
* raw total energy: -57.4 eV/cell
* DOS(E_F): 3.84 states/eV/f.u.
* ρ: 10.1 g/cm3

Below is a relaxed structure of AlGa6Pd, with properties calculated at the PBE level.

a = 6.974 Å, b = 4.660 Å, c = 6.427 Å
α = 68.74°, β = 76.19°, γ = 48.83°
Fractional coordinates of all 8 atoms:
1 Ga 0.250 0.429 0.399
2 Ga 0.750 0.571 0.601
3 Ga 0.252 0.248 0.000
4 Ga 0.748 0.752 0.000
5 Ga 0.750 0.172 0.399
6 Pd 0.500 0.500 0.000
7 Al 0.000 0.000 0.000
8 Ga 0.250 0.828 0.601

Summary:
* formation energy: -139 meV per atom
* M_tot: 0.0 Bohr magnetons per cell
* symmetry: C2/m
* raw total energy: -28.2 eV/cell
* DOS(E_F): 3.28 states/eV/f.u.
* ρ: 6.3 g/cm3

Below is a relaxed structure of AlGa3Pd3, with properties calculated at the PBE level.

a = 5.555 Å, b = 5.555 Å, c = 7.783 Å
α = 89.86°, β = 89.86°, γ = 109.55°
Fractional coordinates of all 14 atoms:
1 Pd 0.043 0.043 0.789
2 Al 0.700 0.700 0.954
3 Ga 0.768 0.232 0.000
4 Ga 0.154 0.846 0.500
5 Ga 0.431 0.431 0.659
6 Ga 0.569 0.569 0.341
7 Ga 0.232 0.768 0.000
8 Pd 0.510 0.949 0.730
9 Pd 0.957 0.957 0.211
10 Pd 0.490 0.051 0.270
11 Ga 0.846 0.154 0.500
12 Pd 0.949 0.510 0.730
13 Al 0.300 0.300 0.046
14 Pd 0.051 0.490 0.270

Summary:
* formation energy: -498 meV per atom
* M_tot: 0.0 Bohr magnetons per cell
* symmetry: C2/m
* raw total energy: -63.8 eV/cell
* DOS(E_F): 2.55 states/eV/f.u.
* ρ: 8.2 g/cm3

Below is a relaxed structure of Al2Ga2Pd, with properties calculated at the PBE level.

a = 3.581 Å, b = 3.581 Å, c = 7.266 Å
α = 75.73°, β = 75.73°, γ = 90.00°
Fractional coordinates of all 5 atoms:
1 Pd 0.000 0.000 0.000
2 Al 0.596 0.596 0.809
3 Al 0.404 0.404 0.191
4 Ga 0.250 0.750 0.500
5 Ga 0.750 0.250 0.500

Summary:
* formation energy: -17 meV per atom
* M_tot: 0.0 Bohr magnetons per cell
* symmetry: I4/mmm
* E above lowest polymorph: 128 meV/atom
* raw total energy: -18.8 eV/cell
* DOS(E_F): 1.99 states/eV/f.u.
* ρ: 5.7 g/cm3

Below is a relaxed structure of Al5GaPd6, with properties calculated at the PBE level.

a = 4.366 Å, b = 7.564 Å, c = 7.564 Å
α = 120.52°, β = 106.78°, γ = 106.78°
Fractional coordinates of all 12 atoms:
1 Pd 0.248 0.748 0.748
2 Pd 0.251 0.083 0.419
3 Pd 0.749 0.581 0.917
4 Ga 0.000 0.000 0.000
5 Pd 0.752 0.252 0.252
6 Al 0.500 0.500 0.500
7 Al 0.000 0.334 0.666
8 Al 0.000 0.666 0.334
9 Pd 0.251 0.419 0.083
10 Al 0.500 0.168 0.832
11 Pd 0.749 0.917 0.581
12 Al 0.500 0.832 0.168

Summary:
* formation energy: -820 meV per atom
* M_tot: 0.0 Bohr magnetons per cell
* symmetry: Immm
* raw total energy: -62.7 eV/cell
* DOS(E_F): 3.11 states/eV/f.u.
* ρ: 8.0 g/cm3